DFT (PBE) results for a relaxed structure of ZrCu.

```
data_ZrCu
_chemical_formula_sum 'Zr2 Cu2'
_cell_length_a 3.0009
_cell_length_b 3.0009
_cell_length_c 9.2544
_cell_angle_alpha 90.00
_cell_angle_beta 90.00
_cell_angle_gamma 120.00
_space_group_name_H-M_alt 'P -3 m 1'
_space_group_IT_number 164
_space_group_name_Hall '-P 3 2"'
loop_
_atom_site_label
_atom_site_fract_x
_atom_site_fract_y
_atom_site_fract_z
Zr1 0.3333 0.6667 0.3441
Cu1 0.3333 0.6667 0.9008
```

DFT (PBE) results for a relaxed structure of SnBiAs.

```
data_SnBiAs
_chemical_formula_sum 'Sn4 Bi4 As4'
_cell_length_a 11.616
_cell_length_b 4.032
_cell_length_c 7.488
_cell_angle_alpha 90.00
_cell_angle_beta 102.54
_cell_angle_gamma 90.00
_space_group_name_H-M_alt 'C 1 m 1'
_space_group_IT_number 8
_space_group_name_Hall 'C -2y'
loop_
_atom_site_label
_atom_site_fract_x
_atom_site_fract_y
_atom_site_fract_z
Sn1 0.000 0.000 0.000
Sn2 0.189 0.500 0.734
Bi1 0.201 0.500 0.291
Bi2 0.487 0.500 0.442
As1 0.246 0.000 0.021
As2 0.443 0.000 0.712
```

## Properties
Relative energy among the computed polymorphs   0.16 eV per formula unit

These records have uncorrected energy values of -6.17; -4.10 eV/atom, in the order they appear.
These records have energy of formation values of 0.3; 0.2 eV/f.u., in the order they appear.